Entry 1:
This record from the Alexandria database describes crystalline ICl at its relaxed geometry. The functional is PBE.

For the density of states at the Fermi level, the calculation gives 3.922 states/eV/f.u. The calculation puts the calculated density at 4.2 g/cm3.

The space group is Fm-3m (No. 225) and the conventional cell measures 6.359, 6.359 and 6.359 Å, with angles of 90.00, 90.00 and 90.00 degrees. The asymmetric unit holds I at (0.000, 0.000, 0.000) and Cl at (0.000, 0.000, 0.500).



Entry 2:
This record from the Alexandria database describes crystalline ICl3 at its relaxed geometry. The functional is PBE.

For the density of states at the Fermi level, the calculation gives 4.104 states/eV/f.u. The calculation puts the calculated density at 2.8 g/cm3. For the relative energy among the computed polymorphs, the calculation gives 0.437 eV per atom.

The space group is R-3m (No. 166, hexagonal axes) and the conventional cell measures 3.6253, 3.6253 and 35.9329 Å, with angles of 90.00, 90.00 and 120.00 degrees. The asymmetric unit holds I at (0.0000, 0.0000, 0.0000), Cl at (0.0000, 0.0000, 0.0680) and Cl at (0.0000, 0.0000, 0.5000).



Entry 3:
This record from the Alexandria database describes crystalline ICl at its relaxed geometry. The functional is PBE.

The calculation puts the calculated density at 2.6 g/cm3.

The space group is I4/m (No. 87) and the conventional cell measures 12.995, 12.995 and 4.873 Å, with angles of 90.00, 90.00 and 90.00 degrees. The asymmetric unit holds I at (0.113, 0.178, 0.000) and Cl at (0.060, 0.725, 0.000).



Entry 4:
This record from the Alexandria database describes crystalline ICl at its relaxed geometry. The functional is PBE.

For the density of states at the Fermi level, the calculation gives 0.000 states/eV/f.u. The calculation puts the calculated density at 2.8 g/cm3.

The space group is P1 (No. 1) and the conventional cell measures 5.292, 5.984 and 6.240 Å, with angles of 87.14, 80.81 and 81.47 degrees. The asymmetric unit holds I at (0.000, 0.000, 0.000), I at (0.175, 0.807, 0.397), Cl at (0.315, 0.659, 0.764) and Cl at (0.713, 0.311, 0.178).



Entry 5:
This record from the Alexandria database describes crystalline ICl at its relaxed geometry. The functional is PBE.

The calculation puts the calculated density at 2.6 g/cm3.

The space group is P1 (No. 1) and the conventional cell measures 4.550, 4.718 and 5.060 Å, with angles of 72.45, 84.48 and 84.49 degrees. The asymmetric unit holds I at (0.000, 0.000, 0.000) and Cl at (0.156, 0.003, 0.449).



Entry 6:
This record from the Alexandria database describes crystalline ICl at its relaxed geometry. The functional is PBE.

For the density of states at the Fermi level, the calculation gives 0.230 states/eV/f.u. The calculation puts the calculated density at 3.4 g/cm3.

The space group is P1 (No. 1) and the conventional cell measures 3.352, 5.011 and 5.337 Å, with angles of 69.83, 90.00 and 70.68 degrees. The asymmetric unit holds I at (0.000, 0.000, 0.000) and Cl at (0.998, 0.002, 0.499).



Entry 7:
This record from the Alexandria database describes crystalline I2Cl at its relaxed geometry. The functional is PBE.

For the density of states at the Fermi level, the calculation gives 1.276 states/eV/f.u. The calculation puts the calculated density at 3.6 g/cm3.

The space group is P-1 (No. 2) and the conventional cell measures 3.718, 5.054 and 8.045 Å, with angles of 73.38, 77.09 and 69.06 degrees. The asymmetric unit holds I at (0.025, 0.129, 0.320) and Cl at (0.000, 0.500, 0.000).



Entry 8:
This record from the Alexandria database describes crystalline ICl at its relaxed geometry. The functional is PBE.

The calculation puts the calculated density at 2.2 g/cm3.

The space group is Fddd (No. 70, origin choice 2) and the conventional cell measures 8.443, 14.377 and 15.861 Å, with angles of 90.00, 90.00 and 90.00 degrees. The asymmetric unit holds I at (0.125, 0.125, 0.374) and Cl at (0.125, 0.272, 0.625).



Number 1: DFT total energy -9.91 eV per cell, V 32.141 A^3/atom, E_form (uncorrected) 0.4601 eV per atom. Number 2: DFT total energy -18.34 eV per cell, V 34.082 A^3/atom, E_form (uncorrected) 0.2445 eV per atom. Number 3: DFT total energy -28.61 eV per cell, V 51.429 A^3/atom, E_form (uncorrected) -0.0897 eV per atom. Number 4: DFT total energy -7.33 eV per cell, V 48.209 A^3/atom, E_form (uncorrected) -0.1342 eV per atom. Number 5: DFT total energy -3.43 eV per cell, V 51.403 A^3/atom, E_form (uncorrected) -0.0146 eV per atom. Number 6: DFT total energy -3.43 eV per cell, V 39.369 A^3/atom, E_form (uncorrected) -0.0179 eV per atom. Number 7: DFT total energy -4.89 eV per cell, V 44.677 A^3/atom, E_form (uncorrected) 0.0194 eV per atom. Number 8: DFT total energy -57.96 eV per cell, V 60.166 A^3/atom, E_form (uncorrected) -0.1130 eV per atom.